VASP calculation (PBE+U) on a geometry-optimized Ca2VBiO6 structure.

Geometry as CIF:
```
data_Ca2VBiO6
_symmetry_space_group_name_H-M 'P 4 m m'
_symmetry_Int_Tables_number 99
_cell_length_a 5.578
_cell_length_b 5.578
_cell_length_c 5.083
_cell_angle_alpha 90.00
_cell_angle_beta 90.00
_cell_angle_gamma 90.00
loop_
_symmetry_equiv_pos_as_xyz
'x,y,z'
'-y,x,z'
'-x,-y,z'
'y,-x,z'
'-x,y,z'
'y,x,z'
'x,-y,z'
'-y,-x,z'
loop_
_atom_site_label
_atom_site_type_symbol
_atom_site_fract_x
_atom_site_fract_y
_atom_site_fract_z
Ca1 Ca 0.000 0.500 0.000
V1 V 0.000 0.000 0.636
Bi1 Bi 0.500 0.500 0.588
O1 O 0.000 0.000 0.299
O2 O 0.225 0.225 0.753
O3 O 0.500 0.500 0.165
```

Properties
ΔE to the lowest computed polymorph: 4.72 kcal/mol of atoms
Calculated total energy: -66.32 eV for the cell shown
Total magnetization: 0.00 μB per cell